Record 1
# TiNi3N (PBE-GGA, optimized geometry)
data_TiNi3N
_chemical_formula_sum 'Ti1 Ni3 N1'
_cell_length_a 4.3115
_cell_length_b 4.3115
_cell_length_c 4.3115
_cell_angle_alpha 90.00
_cell_angle_beta 90.00
_cell_angle_gamma 90.00
_symmetry_space_group_name_H-M 'P m -3 m'
_symmetry_Int_Tables_number 221
_symmetry_space_group_name_Hall '-P 4 2 3'
loop_
_atom_site_label
_atom_site_fract_x
_atom_site_fract_y
_atom_site_fract_z
_atom_site_occupancy
Ti1 0.0000 0.0000 0.0000 1
Ni1 0.0000 0.0000 0.5000 1
N1 0.5000 0.5000 0.5000 1
# - Fermi-level density of states: 2.96 states/eV/f.u.
# - Uncorrected formation energy: 2036 meV/atom
# - Total magnetic moment: 1.3 μB per formula unit
# - Relative energy among the computed polymorphs: 2121 meV per atom

Record 2
# TbDyTm2Sc (PBE-GGA, optimized geometry)
data_TbDyTm2Sc
_chemical_formula_sum 'Tb4 Dy4 Tm8 Sc4'
_cell_length_a 6.2648
_cell_length_b 15.9300
_cell_length_c 6.2696
_cell_angle_alpha 90.00
_cell_angle_beta 90.00
_cell_angle_gamma 90.00
_symmetry_space_group_name_H-M 'C m c m'
_symmetry_Int_Tables_number 63
_symmetry_space_group_name_Hall '-C 2c 2'
loop_
_atom_site_label
_atom_site_fract_x
_atom_site_fract_y
_atom_site_fract_z
_atom_site_occupancy
Tb1 0.0000 0.1594 0.2500 1
Dy1 0.0000 0.2498 0.7500 1
Tm1 0.2484 0.5000 0.0000 1
Sc1 0.0000 0.3455 0.2500 1
# - Fermi-level density of states: 8.79 states/eV/f.u.
# - Total magnetic moment: 0.2 μB per formula unit
# - Calculated formation energy: 0.376 eV per atom

> What is the formula in the first record?

TiNi3N